# PBE-GGA HgRu2W, optimized geometry
# - Offset from the most stable computed form: 205 meV per atom
# - D(E_F): 4.535 states/eV/f.u.
# - Calculated formation energy: 424 meV/atom
# - Volume: 16.215 Å³/atom
data_HgRu2W
_cell_length_a 2.831
_cell_length_b 4.052
_cell_length_c 5.653
_cell_angle_alpha 90.00
_cell_angle_beta 90.01
_cell_angle_gamma 90.00
_space_group_name_H-M_alt 'P 1 m 1'
_space_group_IT_number 6
loop_
_space_group_symop_operation_xyz
'x,y,z'
'x,-y,z'
loop_
_atom_site_label
_atom_site_type_symbol
_atom_site_fract_x
_atom_site_fract_y
_atom_site_fract_z
_atom_site_occupancy
Hg1 Hg 0.000 0.000 0.000 1
Ru1 Ru 0.002 0.000 0.502 1
Ru2 Ru 0.501 0.500 0.264 1
W1 W 0.498 0.500 0.696 1